DFT (PBE) results for a relaxed structure of RbAgAu.

Values from the calculation:
energy of formation from the pure elements = -0.016 eV per atom
offset from the most stable computed form = 2.19 kcal/mol of atoms
space-group type = I4mm, No. 107
crystal system = tetragonal
V = 30.4 Å³ per atom
density of states at the Fermi level = 1.39 states/eV/cell
total DFT energy (no corrections) = -2.381 eV per atom

Cell lengths 3.8888, 3.8888, 6.6366 Å; angles 107.04, 107.04, 90.00 degrees
Closest atoms and distances in Å follow each position.
Fractional positions:
Au  0.7290  0.7290  0.4580  4 Ag 2.79
Rb  0.0021  0.0021  0.0042  1 Ag 3.22, 1 Au 3.30
Ag  0.2689  0.2689  0.5378  4 Au 2.79

DFT (PBE) results for a relaxed structure of Rb3AgAu3.

Values from the calculation:
energy of formation from the pure elements = -0.199 eV per atom
space-group type = C2/m, No. 12
crystal system = monoclinic
V = 33.6 Å³ per atom
density of states at the Fermi level = 3.90 states/eV/cell
total DFT energy (no corrections) = -2.426 eV per atom

Cell lengths 4.9894, 6.5629, 15.7349 Å; angles 88.14, 80.88, 67.66 degrees
Closest atoms and distances in Å follow each position.
Fractional positions:
Rb  0.5259  0.3268  0.6214  4 Ag 3.50-3.66, 7 Au 3.51-3.86
Rb  0.4741  0.6732  0.3786  4 Ag 3.50-3.66, 7 Au 3.51-3.86
Rb  0.2383  0.2861  0.2372  6 Au 3.45-3.69
Rb  0.7617  0.7139  0.7628  6 Au 3.45-3.69
Rb  0.3993  0.2784  0.9230  7 Au 3.52-3.69
Rb  0.6007  0.7216  0.0770  7 Au 3.52-3.69
Ag  0.7525  0.0805  0.4145  4 Au 2.86-2.94
Ag  0.2475  0.9195  0.5855  4 Au 2.86-2.94
Au  0.8703  0.7220  0.5374  3 Ag 2.86-2.94, 1 Au 2.90
Au  0.1297  0.2780  0.4626  3 Ag 2.86-2.94, 1 Au 2.90
Au  0.1056  0.8695  0.9194  2 Au 2.91-2.92
Au  0.8944  0.1305  0.0806  2 Au 2.91-2.92
Au  0.9327  0.8939  0.2407  1 Ag 2.90, 1 Au 2.91
Au  0.0673  0.1061  0.7593  1 Ag 2.90, 1 Au 2.91

DFT (PBE) results for a relaxed structure of RbAgAu.

Values from the calculation:
energy of formation from the pure elements = -0.078 eV per atom
offset from the most stable computed form = 0.75 kcal/mol of atoms
space-group type = P-6m2, No. 187
crystal system = hexagonal
V = 32.6 Å³ per atom
density of states at the Fermi level = 1.16 states/eV/cell
total DFT energy (no corrections) = -2.443 eV per atom

Cell lengths 4.9006, 4.7977, 4.7977 Å; angles 120.00, 90.00, 90.00 degrees
Closest atoms and distances in Å follow each position.
Fractional positions:
Au  0.1666  0.6667  0.3333  3 Ag 2.77
Rb  0.6666  0.3333  0.6667  6 Ag 3.70, 6 Au 3.70
Ag  0.1667  0.0000  0.0000  3 Au 2.77

DFT (PBE) results for a relaxed structure of Rb5AgAu.

Values from the calculation:
energy of formation from the pure elements = -0.041 eV per atom
space-group type = P2_1/m, No. 11
crystal system = monoclinic
V = 58.6 Å³ per atom
density of states at the Fermi level = 12.97 states/eV/cell
total DFT energy (no corrections) = -1.607 eV per atom

Cell lengths 5.1829, 9.7173, 16.3014 Å; angles 87.93, 90.00, 90.00 degrees
Closest atoms and distances in Å follow each position.
Fractional positions:
Rb  0.2500  0.0652  0.3251  1 Au 3.64, 2 Ag 3.74
Rb  0.7500  0.1470  0.9304  3 Ag 3.70-3.78
Rb  0.7500  0.3142  0.4845  3 Au 3.51-3.63
Rb  0.2500  0.3573  0.1316  1 Au 3.75, 2 Ag 3.80, 1 Rb 4.17
Rb  0.2500  0.3459  0.7209  2 Au 3.55
Rb  0.7500  0.6541  0.2791  2 Au 3.55
Rb  0.7500  0.6427  0.8684  1 Au 3.75, 2 Ag 3.80, 1 Rb 4.17
Rb  0.2500  0.6858  0.5155  3 Au 3.51-3.63
Rb  0.2500  0.8530  0.0696  3 Ag 3.70-3.78
Rb  0.7500  0.9348  0.6749  1 Au 3.64, 2 Ag 3.74
Ag  0.7500  0.0731  0.1598  7 Rb 3.70-3.80
Ag  0.2500  0.9269  0.8402  7 Rb 3.70-3.80
Au  0.2500  0.4349  0.3556  7 Rb 3.51-3.75
Au  0.7500  0.5651  0.6444  7 Rb 3.51-3.75

- energy of formation from the pure elements of number 1 (RbAgAu)?
  -0.016 eV per atom